(1)
! LaMoCl3, relaxed, DFT PBE-GGA; values from VASP
! * DOS at the Fermi energy: 5.2 states/eV per cell
! * crystal system: cubic
! * M_tot: 0.0006 μB/atom
! * energy relative to the elements, uncorrected: -0.493 eV/atom
! * symmetry: Pm-3m (221)
! * relative energy among the computed polymorphs: 14.55 kJ/mol of atoms
&SYSTEM
  ibrav = 0, nat = 5, ntyp = 3
/
ATOMIC_SPECIES
Cl 35.45 Cl.upf
La 138.91 La.upf
Mo 95.94 Mo.upf
ATOMIC_POSITIONS angstrom
Cl 0.000 0.000 2.409
Cl 2.409 0.000 0.000
Cl 0.000 2.409 0.000
La 2.409 2.409 2.409
Mo 0.000 0.000 0.000
CELL_PARAMETERS angstrom
4.819 0.000 0.000
0.000 4.819 0.000
0.000 0.000 4.819

***

(2)
! PaSbTe3, relaxed, DFT PBE-GGA; values from VASP
! * DOS at the Fermi energy: 6.0 states/eV per cell
! * crystal system: monoclinic
! * M_tot: 0.0000 μB/atom
! * energy relative to the elements, uncorrected: -0.421 eV/atom
! * symmetry: P2_1/c (14)
&SYSTEM
  ibrav = 0, nat = 20, ntyp = 3
/
ATOMIC_SPECIES
Sb 121.76 Sb.upf
Te 127.60 Te.upf
Pa 231.04 Pa.upf
ATOMIC_POSITIONS angstrom
Sb -9.891 4.026 -1.290
Sb -0.962 -7.585 -6.412
Sb -5.843 -1.011 -6.172
Sb -5.011 -2.548 -1.530
Te -3.839 2.155 -6.372
Te -4.086 -4.700 -3.296
Te -9.122 -2.572 -0.736
Te -1.731 -0.987 -6.966
Te -6.767 1.141 -4.406
Te -6.114 -4.646 -7.119
Te -7.014 -5.714 -1.330
Te -2.394 -4.479 -8.140
Te -3.306 -0.840 -3.566
Te -4.739 1.087 -0.583
Te -8.459 0.920 0.438
Te -7.547 -2.719 -4.136
Pa -9.026 -0.476 -5.607
Pa -1.827 -3.083 -2.095
Pa -4.040 2.096 -3.316
Pa -6.814 -5.655 -4.386
CELL_PARAMETERS angstrom
-1.890 3.402 -6.694
-0.184 -8.965 -4.505
-8.779 2.004 3.497

***

Respective ρ values: 5.1, 6.9 g/cm3.